A geometry-optimized NaZnCuAu structure, computed with PBE-GGA.

## Properties
Its calculated volume is 66.2 Å³/cell. The value obtained for the formation energy from the elements is -0.14 eV per formula unit.

a = 4.5411 Å, b = 4.5411 Å, c = 4.5411 Å
α = 60.00°, β = 60.00°, γ = 60.00°
Closest atoms and distances in Å follow each position.
Sites, in units of the cell vectors:
Na  0.0000  0.0000  0.0000  4 Cu 2.78, 4 Zn 2.78
Zn  0.2500  0.2500  0.2500  4 Au 2.78, 4 Na 2.78
Cu  0.7500  0.7500  0.7500  4 Na 2.78, 4 Au 2.78
Au  0.5000  0.5000  0.5000  4 Cu 2.78, 4 Zn 2.78